AsN PBE relaxed; calculated density = 4.746 g cm⁻³; crystal system = hexagonal; uncorrected formation energy = 0.858 eV per atom
1.0
3.8691 0.0000 0.0000
-1.9346 3.3508 0.0000
0.0000 0.0000 4.7996
As N
2 2
Direct
0.3333 0.6667 0.0000
0.6667 0.3333 0.5000
0.3333 0.6667 0.6054
0.6667 0.3333 0.1054